Below is a relaxed structure of SmDyGaAu, with properties calculated at the PBE-GGA level.

Calculated values
Total magnetization in μB/f.u.: 0.0
Energy above the lowest structure with this stoichiometry in kJ/mol of formula units: 11
Final energy in eV per atom: -4.573
D(E_F) in states/eV/cell: 14.37
ρ in g/cm³: 9.9
Energy relative to the elements in eV per atom: -0.666

a b c (Å): 7.293 7.293 7.293
angles (deg): 90.00 90.00 90.00
Fractional positions:
Sm 0.000 0.000 0.000
Sm 0.000 0.500 0.500
Sm 0.500 0.000 0.500
Sm 0.500 0.500 0.000
Dy 0.000 0.000 0.500
Dy 0.000 0.500 0.000
Dy 0.500 0.000 0.000
Dy 0.500 0.500 0.500
Ga 0.250 0.250 0.750
Ga 0.250 0.750 0.250
Ga 0.750 0.250 0.250
Ga 0.750 0.750 0.750
Au 0.250 0.250 0.250
Au 0.250 0.750 0.750
Au 0.750 0.250 0.750
Au 0.750 0.750 0.250